Entry 1:
AcNd8Ir6 | GGA-PBE | optimized geometry

POSCAR file:
```
AcNd8Ir6
1.0
4.296 2.480 6.261
-4.296 2.480 6.261
0.000 -4.960 6.261
Ac Nd Ir
1 8 6
direct
0.000 0.000 0.000 Ac
0.108 0.775 0.455 Nd
0.225 0.545 0.892 Nd
0.336 0.336 0.336 Nd
0.455 0.108 0.775 Nd
0.545 0.892 0.225 Nd
0.664 0.664 0.664 Nd
0.775 0.455 0.108 Nd
0.892 0.225 0.545 Nd
0.061 0.395 0.723 Ir
0.277 0.939 0.605 Ir
0.395 0.723 0.061 Ir
0.605 0.277 0.939 Ir
0.723 0.061 0.395 Ir
0.939 0.605 0.277 Ir
```

## Properties
* ρ: 10.51 g cm⁻³
* ΔE_f: -0.573 eV/atom


Entry 2:
SrTa2Se | GGA-PBE | optimized geometry

POSCAR file:
```
SrTa2Se
1.0
-1.604 2.958 5.033
1.604 -2.958 5.033
1.604 2.958 -5.033
Sr Ta Se
1 2 1
direct
0.000 0.000 0.000 Sr
0.314 0.814 0.500 Ta
0.536 0.536 0.000 Ta
0.739 0.239 0.500 Se
```

## Properties
* raw formation energy: 0.44 eV per atom
* ρ: 9.19 g cm⁻³


Entry 3:
Ba2ScTi2 | GGA-PBE | optimized geometry

POSCAR file:
```
Ba2ScTi2
1.0
9.645 0.000 0.000
0.000 9.645 0.000
0.000 0.000 3.301
Ba Sc Ti
4 2 4
direct
0.198 0.302 0.000 Ba
0.302 0.802 0.000 Ba
0.698 0.198 0.000 Ba
0.802 0.698 0.000 Ba
0.000 0.000 0.000 Sc
0.500 0.500 0.000 Sc
0.094 0.594 0.500 Ti
0.406 0.094 0.500 Ti
0.594 0.906 0.500 Ti
0.906 0.406 0.500 Ti
```

## Properties
* E above lowest polymorph: 0.2516 eV per atom
* ρ: 4.49 g cm⁻³
* ΔE_f: 0.914 eV/atom


> Number 3 is which compound?

Ba2ScTi2


> Which value of ρ does entry 2 give?

9.19 g cm⁻³


> What is the ρ in the third record?

4.49 g cm⁻³


> The lowest ρ belongs to which entry?

Ba2ScTi2